Record 1
The following is a DFT calculation (GGA-PBE) of TaBe4Rh after structural relaxation.

The structure in POSCAR format:
```
TaBe4Rh
1.0
0.0000 3.1566 3.1566
3.1566 0.0000 3.1566
3.1566 3.1566 0.0000
Ta Be Rh
1 4 1
direct
0.0000 0.0000 0.0000
0.3723 0.3723 0.3723
0.3723 0.3723 0.8831
0.3723 0.8831 0.3723
0.8831 0.3723 0.3723
0.7500 0.7500 0.7500
```

## Properties
E_form (eV per atom): -0.35
M_tot (μB/f.u.): 0.00
Theoretical density (kg/m³): 8445
Crystal system: cubic

Record 2
The following is a DFT calculation (GGA-PBE) of TaBeRh2 after structural relaxation.

The structure in POSCAR format:
```
TaBeRh2
1.0
4.7029 0.0000 0.0000
0.7450 4.7571 0.0000
0.1017 2.4084 4.9109
Ta Be Rh
2 2 4
direct
0.1863 0.1694 0.0964
0.8137 0.8306 0.9036
0.1357 0.6082 0.5869
0.8643 0.3918 0.4131
0.2768 0.0243 0.6705
0.3768 0.5709 0.2289
0.6232 0.4291 0.7711
0.7232 0.9757 0.3295
```

## Properties
E_form (eV per atom): -0.47
M_tot (μB/f.u.): 0.00
Theoretical density (kg/m³): 11963
Crystal system: triclinic

Record 3
The following is a DFT calculation (GGA-PBE) of TaBeRh2 after structural relaxation.

The structure in POSCAR format:
```
TaBeRh2
1.0
4.0631 0.0000 0.0000
0.0000 4.0631 0.0000
0.0000 0.0000 6.7577
Ta Be Rh
2 2 4
direct
0.0000 0.0000 0.0000
0.5000 0.5000 0.5000
0.0000 0.0000 0.5000
0.5000 0.5000 0.0000
0.0000 0.5000 0.2500
0.0000 0.5000 0.7500
0.5000 0.0000 0.2500
0.5000 0.0000 0.7500
```

## Properties
E_form (eV per atom): -0.56
M_tot (μB/f.u.): 0.00
Theoretical density (kg/m³): 11782
Crystal system: tetragonal

Record 4
The following is a DFT calculation (GGA-PBE) of TaBeRh2 after structural relaxation.

The structure in POSCAR format:
```
TaBeRh2
1.0
2.8108 0.0000 0.0000
0.0000 2.8108 0.0000
0.0000 0.0000 6.8657
Ta Be Rh
1 1 2
direct
0.0000 0.0000 0.0000
0.5000 0.5000 0.2543
0.0000 0.0000 0.4244
0.5000 0.5000 0.7069
```

## Properties
E_form (eV per atom): -0.28
M_tot (μB/f.u.): 0.00
Theoretical density (kg/m³): 12116
Crystal system: tetragonal